# ThNi4H7 | Alexandria | PBE | optimized geometry
data_ThNi4H7
_chemical_formula_sum 'Th2 Ni8 H14'
_cell_length_a 3.807
_cell_length_b 11.374
_cell_length_c 4.437
_cell_angle_alpha 90.00
_cell_angle_beta 90.00
_cell_angle_gamma 90.00
_symmetry_space_group_name_H-M 'P m m n'
_symmetry_Int_Tables_number 59
loop_
_symmetry_equiv_pos_as_xyz
'x,y,z'
'-x,-y,-z'
'-x+1/2,-y+1/2,z'
'x+1/2,y+1/2,-z'
'x+1/2,-y,-z'
'-x+1/2,y,z'
'-x,y+1/2,-z'
'x,-y+1/2,z'
loop_
_atom_site_label
_atom_site_type_symbol
_atom_site_fract_x
_atom_site_fract_y
_atom_site_fract_z
Th1 Th 0.250 0.250 0.205
Ni1 Ni 0.250 0.504 0.807
Ni2 Ni 0.250 0.637 0.307
H1 H 0.250 0.005 0.187
H2 H 0.250 0.136 0.708
H3 H 0.250 0.637 0.671
H4 H 0.250 0.750 0.091
# Final energy: -114.3 eV for the cell shown
# DOS(E_F): 12.2 states/eV/cell